No. 1
## RbSbAu3 (PBE)

Data for crystalline RbSbAu3 at its relaxed geometry.

Cell and atoms, written as POSCAR:
```
RbSbAu3
1.0
6.914 0.000 0.000
0.000 6.508 0.000
0.000 0.000 6.935
Rb Sb Au
2 2 6
Cartesian
0.000 0.791 0.000
3.457 5.717 3.468
0.000 4.174 2.310
3.457 2.335 5.777
0.000 0.141 3.323
1.399 2.453 4.097
2.058 4.056 0.629
3.457 6.368 6.791
4.856 4.056 0.629
5.514 2.453 4.097
```

Output
The space group is No. 31. The calculation puts the polymorph energy (0 for the lowest one) at 0.000 eV/atom. As for the uncorrected formation energy: -1.03 eV per formula unit.


No. 2
## RbSb3Au2 (PBE)

Data for crystalline RbSb3Au2 at its relaxed geometry.

Cell and atoms, written as POSCAR:
```
RbSb3Au2
1.0
6.184 -5.325 0.000
6.184 5.325 0.000
0.000 0.000 5.574
Rb Sb Au
2 6 4
Cartesian
6.184 3.613 4.180
6.184 -3.613 1.393
3.669 2.991 1.393
8.699 2.991 1.393
6.184 0.683 1.393
6.184 -0.683 4.180
3.669 -2.991 4.180
8.699 -2.991 4.180
3.495 0.000 0.000
3.495 0.000 2.787
8.873 0.000 0.000
8.873 0.000 2.787
```

Output
The space group is No. 63. As for the uncorrected formation energy: -0.58 eV per formula unit.


Spin magnetization list, top to bottom, in μB/cell: 0.0; 0.0